Entry 1:
A plane-wave DFT calculation with PBE was carried out for a geometry-optimized CaCoTe2 structure.

Cell and atoms, written as CIF:
```
data_CaCoTe2
_cell_length_a 4.0944
_cell_length_b 4.0944
_cell_length_c 20.4233
_cell_angle_alpha 90.00
_cell_angle_beta 90.00
_cell_angle_gamma 120.00
_symmetry_space_group_name_H-M 'R -3 m'
_symmetry_Int_Tables_number 166
_symmetry_space_group_name_Hall '-R 3 2"'
loop_
_atom_site_label
_atom_site_type_symbol
_atom_site_fract_x
_atom_site_fract_y
_atom_site_fract_z
Ca1 Ca 0.0000 0.0000 0.0000
Co1 Co 0.0000 0.0000 0.5000
Te1 Te 0.0000 0.0000 0.2305
```

Calculated values
- E_form (uncorrected) (kcal/mol of atoms) = -12.5
- total energy (eV for the cell shown) = -52.7
- Fermi-level density of states (states/eV/cell) = 9.26
- calculated volume (A^3/atom) = 24.7
- crystal system = trigonal

Entry 2:
A plane-wave DFT calculation with PBE was carried out for a geometry-optimized CaCoTe3 structure.

Cell and atoms, written as CIF:
```
data_CaCoTe3
_cell_length_a 5.151
_cell_length_b 5.151
_cell_length_c 5.151
_cell_angle_alpha 90.00
_cell_angle_beta 90.00
_cell_angle_gamma 90.00
_symmetry_space_group_name_H-M 'P m -3 m'
_symmetry_Int_Tables_number 221
_symmetry_space_group_name_Hall '-P 4 2 3'
loop_
_atom_site_label
_atom_site_type_symbol
_atom_site_fract_x
_atom_site_fract_y
_atom_site_fract_z
Ca1 Ca 0.000 0.000 0.000
Co1 Co 0.500 0.500 0.500
Te1 Te 0.000 0.500 0.500
```

Calculated values
- E_form (uncorrected) (kcal/mol of atoms) = -5.8
- total energy (eV for the cell shown) = -19.8
- polymorph energy (0 for the lowest one) (meV per atom) = 0
- Fermi-level density of states (states/eV/cell) = 6.00
- calculated volume (A^3/atom) = 27.3
- crystal system = cubic